{
  "formula": "CaNbCr2In",
  "functional": "PBE-GGA",
  "state": "optimized geometry",
  "sg": "P4/mmm",
  "crystal_system": "tetragonal",
  "ef_kj_per_mol_atoms": 190.6,
  "lattice": [[4.624, 0.000, 0.000], [0.000, 5.322, 0.000], [0.000, 0.000, 4.624]],
  "species": ["Cr", "Cr", "Nb", "Ca", "In"],
  "fractional_positions": [[0.000, 0.000, 0.500], [0.500, 0.000, 0.000], [0.500, 0.500, 0.500], [0.000, 0.000, 0.000], [0.000, 0.500, 0.000]]
}


{
  "formula": "Tm6Sn2BiTe3",
  "functional": "PBE-GGA",
  "state": "optimized geometry",
  "sg": "C2/m",
  "raw_formation_energy_ev_per_atom": -1.00,
  "crystal_system": "monoclinic",
  "lattice": [[4.362, 0.000, 0.000], [0.000, 8.712, 0.332], [-2.181, -2.490, 9.153]],
  "species": ["Tm", "Tm", "Tm", "Tm", "Tm", "Tm", "Bi", "Te", "Te", "Te", "Sn", "Sn"],
  "fractional_positions": [[0.006, 0.251, 0.011], [0.670, 0.575, 0.341], [0.333, 0.903, 0.666], [0.667, 0.097, 0.334], [0.330, 0.425, 0.659], [0.994, 0.749, 0.989], [0.500, 0.000, 0.000], [0.836, 0.166, 0.671], [0.164, 0.834, 0.329], [0.500, 0.500, 0.000], [0.833, 0.666, 0.666], [0.167, 0.334, 0.334]]
}


{
  "formula": "LiFe2Ir",
  "functional": "PBE-GGA",
  "state": "optimized geometry",
  "sg": "Cmmm",
  "crystal_system": "orthorhombic",
  "ef_kj_per_mol_atoms": 0.4,
  "lattice": [[-3.313, -0.308, -3.084], [0.811, -4.051, 1.876], [-1.783, 0.508, 1.866]],
  "species": ["Fe", "Fe", "Li", "Ir"],
  "fractional_positions": [[0.000, 0.000, 0.000], [0.500, 0.500, 0.000], [0.000, 0.500, 0.500], [0.500, 0.000, 0.500]]
}


{
  "formula": "SbP3",
  "functional": "PBE-GGA",
  "state": "optimized geometry",
  "sg": "P4/mmm",
  "polymorph_energy_kj_per_mol_fu": 198,
  "raw_formation_energy_ev_per_atom": 0.71,
  "crystal_system": "tetragonal",
  "lattice": [[4.633, -0.002, 0.000], [0.002, 4.633, 0.000], [0.000, 0.000, 3.322]],
  "species": ["Sb", "P", "P", "P"],
  "fractional_positions": [[0.000, 0.000, 0.000], [0.500, 0.500, 0.000], [0.000, 0.500, 0.500], [0.500, 0.000, 0.500]]
}


The records above yield total energy values of -4.836, -5.009, -6.921, -4.378 eV per atom, respectively.